1.
Compound: K2Al2Hg
Source: the Alexandria database
Functional: PBE-GGA
Structure: optimized geometry

Energy relative to the lowest polymorph listed for this composition: 0.000 eV per atom
Energy of formation from the pure elements: 0.11 eV per atom
Crystal system: tetragonal

a = 3.8547 Å, b = 3.8547 Å, c = 22.5819 Å
α = 90.00°, β = 90.00°, γ = 90.00°
Space group I4/mmm (No. 139)
One atom of each set of equivalent atoms:
K  0.0000  0.0000  0.1102
Al  0.0000  0.5000  0.2500
Hg  0.0000  0.0000  0.5000

---

2.
Compound: TlSi2Ag
Source: the Alexandria database
Functional: PBE-GGA
Structure: optimized geometry

Energy relative to the lowest polymorph listed for this composition: 0.304 eV per atom
Crystal system: monoclinic
Raw formation energy: 0.57 eV per atom

a = 5.6139 Å, b = 10.8473 Å, c = 3.1536 Å
α = 90.00°, β = 123.38°, γ = 90.00°
Space group C2/m (No. 12)
One atom of each set of equivalent atoms:
Tl  0.0000  0.0000  0.0000
Si  0.2500  0.2500  0.0000
Ag  0.0000  0.5000  0.0000

---

3.
Compound: BSb2TePb
Source: the Alexandria database
Functional: PBE-GGA
Structure: optimized geometry

Energy relative to the lowest polymorph listed for this composition: 0.000 eV per atom
Crystal system: tetragonal
Raw formation energy: 0.58 eV per atom

a = 4.9788 Å, b = 4.9788 Å, c = 5.0259 Å
α = 90.00°, β = 90.00°, γ = 90.00°
Space group P4/mmm (No. 123)
One atom of each set of equivalent atoms:
B  0.0000  0.0000  0.0000
Sb  0.0000  0.5000  0.0000
Te  0.0000  0.0000  0.5000
Pb  0.5000  0.5000  0.5000

---

4.
Compound: Ce2TiHg
Source: the Alexandria database
Functional: PBE-GGA
Structure: optimized geometry

Energy relative to the lowest polymorph listed for this composition: 0.170 eV per atom
Energy of formation from the pure elements: 0.15 eV per atom
Crystal system: trigonal

a = 3.0683 Å, b = 3.0683 Å, c = 33.8401 Å
α = 90.00°, β = 90.00°, γ = 120.00°
Space group R-3m (No. 166, hexagonal axes)
One atom of each set of equivalent atoms:
Ce  0.0000  0.0000  0.0811
Ti  0.0000  0.0000  0.0000
Hg  0.0000  0.0000  0.5000